Entry 1:
Compound: As3SI
Source: Alexandria
Functional: PBE
Structure: optimized geometry

The structure in extended XYZ format:
```
5
Lattice="5.366 0.000 0.000 0.000 5.366 0.000 0.000 0.000 5.366" Properties=species:S:1:pos:R:3 pbc="T T T"
As 0.000 0.000 2.683
As 0.000 2.683 0.000
As 2.683 0.000 0.000
S 2.683 2.683 2.683
I 0.000 0.000 0.000
```

Computed properties:
The total DFT energy (no corrections) is -11.5 eV for the cell shown. The calculation puts the uncorrected formation energy at 1632 meV/atom. Its space group is Pm-3m, No. 221.

Entry 2:
Compound: As3S3I
Source: Alexandria
Functional: PBE
Structure: optimized geometry

The structure in extended XYZ format:
```
14
Lattice="4.051 2.339 7.593 -4.051 2.339 7.593 0.000 -4.677 7.593" Properties=species:S:1:pos:R:3 pbc="T T T"
As -1.739 -2.164 10.122
As -2.743 0.424 12.656
As 1.004 -2.587 12.656
As -1.004 2.587 10.122
As 2.743 -0.424 10.122
As 1.739 2.164 12.656
S -2.733 -0.033 10.399
S -1.338 -2.384 12.379
S 1.395 -2.351 10.399
S -1.395 2.351 12.379
S 1.338 2.384 10.399
S 2.733 0.033 12.379
I 0.000 0.000 7.316
I 0.000 0.000 15.462
```

Computed properties:
The total DFT energy (no corrections) is -54.6 eV for the cell shown. The calculation puts the uncorrected formation energy at 84 meV/atom. Its space group is R-3, No. 148.

Entry 3:
Compound: As4S2I3
Source: Alexandria
Functional: PBE
Structure: optimized geometry

The structure in extended XYZ format:
```
18
Lattice="8.291 -6.949 0.000 8.291 6.949 0.000 -0.988 0.000 6.363" Properties=species:S:1:pos:R:3 pbc="T T T"
As 5.006 3.897 4.040
As 5.350 3.098 0.077
As 10.094 3.897 5.505
As 10.738 3.098 3.104
As 4.856 -3.098 3.259
As 5.500 -3.897 0.858
As 10.244 -3.098 6.286
As 10.588 -3.897 2.323
S 4.502 2.125 2.754
S 4.008 -2.125 5.936
S 11.586 2.125 0.427
S 11.092 -2.125 3.609
I 1.313 1.456 5.488
I 1.806 -1.456 2.306
I 7.550 2.337 4.772
I 8.044 -2.337 1.591
I 13.788 1.456 4.057
I 14.282 -1.456 0.875
```

Computed properties:
The total DFT energy (no corrections) is -63.9 eV for the cell shown. The calculation puts the uncorrected formation energy at -52 meV/atom. Its space group is C2/c, No. 15.

Entry 4:
Compound: AsSI3
Source: Alexandria
Functional: PBE
Structure: optimized geometry

The structure in extended XYZ format:
```
5
Lattice="5.703 0.000 0.000 0.000 5.703 0.000 0.000 0.000 5.703" Properties=species:S:1:pos:R:3 pbc="T T T"
As 0.000 0.000 0.000
S 2.852 2.852 2.852
I 0.000 0.000 2.852
I 0.000 2.852 0.000
I 2.852 0.000 0.000
```

Computed properties:
The total DFT energy (no corrections) is -10.6 eV for the cell shown. The calculation puts the uncorrected formation energy at 563 meV/atom. Its space group is Pm-3m, No. 221.

Entry 5:
Compound: As2S3I2
Source: Alexandria
Functional: PBE
Structure: optimized geometry

The structure in extended XYZ format:
```
7
Lattice="4.033 0.000 0.000 1.630 6.455 0.000 1.466 3.021 8.349" Properties=species:S:1:pos:R:3 pbc="T T T"
As 1.283 1.305 0.692
As 5.845 8.171 7.657
S 2.622 3.212 6.954
S 2.831 3.227 0.000
S 4.506 6.263 1.396
I 2.673 3.242 2.701
I 4.455 6.233 5.649
```

Computed properties:
The total DFT energy (no corrections) is -24.6 eV for the cell shown. The calculation puts the uncorrected formation energy at 23 meV/atom. Its space group is P-1, No. 2.

Entry 6:
Compound: As3SI7
Source: Alexandria
Functional: PBE
Structure: optimized geometry

The structure in extended XYZ format:
```
11
Lattice="8.110 0.000 0.000 -4.055 7.023 0.000 0.000 0.000 7.421" Properties=species:S:1:pos:R:3 pbc="T T T"
As -1.891 3.591 0.000
As 1.891 3.591 0.000
As 0.000 6.866 0.000
S 0.000 4.682 6.205
I 0.000 2.357 1.766
I -2.014 5.845 1.766
I 2.020 1.166 5.765
I 2.014 5.845 1.766
I 4.055 2.341 1.760
I 6.090 1.166 5.765
I 4.055 4.690 5.765
```

Computed properties:
The total DFT energy (no corrections) is -30.5 eV for the cell shown. The calculation puts the uncorrected formation energy at -140 meV/atom. Its space group is P3m1, No. 156.

Entry 7:
Compound: As2SI
Source: Alexandria
Functional: PBE
Structure: optimized geometry

The structure in extended XYZ format:
```
16
Lattice="7.288 0.000 0.000 0.000 7.288 0.000 0.000 0.000 8.002" Properties=species:S:1:pos:R:3 pbc="T T T"
As 1.397 5.466 1.000
As 1.822 1.397 7.002
As 1.822 2.247 3.001
As 2.247 5.466 5.001
As 5.041 1.822 5.001
As 5.466 5.041 3.001
As 5.466 5.891 7.002
As 5.891 1.822 1.000
S 0.000 0.000 0.000
S 0.000 3.644 2.000
S 3.644 0.000 6.001
S 3.644 3.644 4.001
I 0.000 0.000 4.001
I 0.000 3.644 6.001
I 3.644 0.000 2.000
I 3.644 3.644 0.000
```

Computed properties:
The total DFT energy (no corrections) is -52.7 eV for the cell shown. The calculation puts the uncorrected formation energy at 449 meV/atom. Its space group is I-42d, No. 122.

Entry 8:
Compound: AsSe2SI
Source: Alexandria
Functional: PBE
Structure: optimized geometry

The structure in extended XYZ format:
```
5
Lattice="4.870 0.000 0.000 0.000 4.870 0.000 0.000 0.000 5.189" Properties=species:S:1:pos:R:3 pbc="T T T"
As 0.000 0.000 0.000
Se 0.000 2.435 2.594
Se 2.435 0.000 2.594
S 0.000 0.000 2.594
I 2.435 2.435 0.000
```

Computed properties:
The total DFT energy (no corrections) is -14.1 eV for the cell shown. The calculation puts the uncorrected formation energy at 647 meV/atom. Its space group is P4/mmm, No. 123.